[1]
TmMgInRu: optimized geometry, PBE-GGA.

- Total magnetic moment: 0.0 μB per cell
- D(E_F): 1.08 states/eV/atom
- ΔH_f (0 K): -0.1545 eV/atom
- Space group: F-43m

Unit cell a=4.8160 b=4.8160 c=4.8160 alpha=60.00 beta=60.00 gamma=60.00
Closest atoms and distances in Å follow each position.
Fractional positions:
Tm (0.0000, 0.0000, 0.0000)  4 Mg 2.95, 4 Ru 2.95
Mg (0.7500, 0.7500, 0.7500)  4 In 2.95, 4 Tm 2.95
In (0.5000, 0.5000, 0.5000)  4 Mg 2.95, 4 Ru 2.95
Ru (0.2500, 0.2500, 0.2500)  4 In 2.95, 4 Tm 2.95



[2]
Pr3ScCd: optimized geometry, PBE-GGA.

- Total magnetic moment: 0.0 μB per cell
- D(E_F): 1.50 states/eV/atom
- ΔH_f (0 K): -0.0020 eV/atom
- Space group: C2/m

Unit cell a=11.4358 b=11.4358 c=8.2348 alpha=106.21 beta=106.21 gamma=17.88
Closest atoms and distances in Å follow each position.
Fractional positions:
Pr (0.0165, 0.0165, 0.2366)  4 Cd 3.36-3.48, 4 Pr 3.55-3.75
Pr (0.1778, 0.1778, 0.4570)  2 Cd 3.32, 3 Sc 3.44-3.47, 5 Pr 3.55-3.61
Pr (0.3738, 0.3738, 0.9642)  1 Cd 3.38, 3 Sc 3.41-3.46, 4 Pr 3.55-3.78
Pr (0.6262, 0.6262, 0.0358)  1 Cd 3.38, 3 Sc 3.41-3.46, 4 Pr 3.55-3.78
Pr (0.8222, 0.8222, 0.5430)  2 Cd 3.32, 3 Sc 3.44-3.47, 5 Pr 3.55-3.61
Pr (0.9835, 0.9835, 0.7634)  4 Cd 3.36-3.48, 4 Pr 3.55-3.75
Sc (0.2626, 0.2626, 0.1703)  4 Sc 3.23-3.55, 6 Pr 3.41-3.47, 1 Cd 3.48
Sc (0.7374, 0.7374, 0.8297)  4 Sc 3.23-3.55, 6 Pr 3.41-3.47, 1 Cd 3.48
Cd (0.4187, 0.4187, 0.3916)  7 Pr 3.32-3.48, 1 Sc 3.48, 3 Cd 3.55-3.60
Cd (0.5813, 0.5813, 0.6084)  7 Pr 3.32-3.48, 1 Sc 3.48, 3 Cd 3.55-3.60